No. 1
Density functional theory data (PBE) for a geometry-optimized LiHg12Pb3 structure.

Computed properties:
Total moment: 0.0 μB per formula unit
Uncorrected energy: -1.067 eV per atom
Symmetry: P-1, No. 2

```
LiHg12Pb3
1.0
3.336 0.000 0.000
-0.579 5.911 0.000
-0.378 -2.692 21.544
Li Hg Pb
1 12 3
Direct
0.000 0.000 0.000 Li
0.020 0.407 0.122 Hg
0.025 0.709 0.626 Hg
0.443 0.790 0.368 Hg
0.497 0.660 0.752 Hg
0.498 0.079 0.897 Hg
0.500 0.500 0.000 Hg
0.500 0.500 0.500 Hg
0.502 0.921 0.103 Hg
0.503 0.340 0.248 Hg
0.557 0.210 0.632 Hg
0.975 0.291 0.374 Hg
0.980 0.593 0.878 Hg
0.000 0.000 0.500 Pb
0.001 0.157 0.767 Pb
0.999 0.843 0.233 Pb
```

No. 2
Density functional theory data (PBE) for a geometry-optimized Ac5PaCo4 structure.

Computed properties:
Total moment: 0.0 μB per formula unit
Uncorrected energy: -5.962 eV per atom
Symmetry: C2/m, No. 12

```
Ac5PaCo4
1.0
9.381 -2.104 0.000
9.381 2.104 0.000
-2.496 0.000 7.309
Ac Pa Co
5 1 4
Direct
0.000 0.000 0.000 Ac
0.320 0.320 0.697 Ac
0.351 0.351 0.230 Ac
0.649 0.649 0.770 Ac
0.680 0.680 0.303 Ac
0.000 0.000 0.500 Pa
0.128 0.128 0.484 Co
0.476 0.476 0.659 Co
0.524 0.524 0.341 Co
0.872 0.872 0.516 Co
```

No. 3
Density functional theory data (PBE) for a geometry-optimized K2PaZnO4 structure.

Computed properties:
Total moment: 0.0 μB per formula unit
Uncorrected energy: -6.229 eV per atom
Symmetry: P2/m, No. 10

```
K2PaZnO4
1.0
6.181 0.000 0.000
0.000 3.793 0.000
-0.109 0.000 6.606
K Pa Zn O
2 1 1 4
Direct
0.000 0.000 0.000 K
0.500 0.500 0.000 K
0.000 0.500 0.500 Pa
0.500 0.000 0.500 Zn
0.162 0.500 0.764 O
0.201 0.000 0.383 O
0.799 0.000 0.617 O
0.838 0.500 0.236 O
```

No. 4
Density functional theory data (PBE) for a geometry-optimized Tb2EuCo structure.

Computed properties:
Total moment: 7.1 μB per formula unit
Uncorrected energy: -6.692 eV per atom
Symmetry: P4/mmm, No. 123
Excess energy over the best structure of this formula in the dataset: 0.0000 eV per atom

```
Tb2EuCo
1.0
3.435 0.000 0.000
0.000 3.435 0.000
0.000 0.000 9.343
Tb Eu Co
2 1 1
Direct
0.000 0.000 0.171 Tb
0.000 0.000 0.829 Tb
0.500 0.500 0.500 Eu
0.500 0.500 0.000 Co
```

No. 5
Density functional theory data (PBE) for a geometry-optimized BOs3F structure.

Computed properties:
Total moment: 3.2 μB per formula unit
Uncorrected energy: -7.456 eV per atom
Symmetry: Pm-3m, No. 221
Excess energy over the best structure of this formula in the dataset: 0.0000 eV per atom

```
BOs3F
1.0
4.106 0.000 0.000
0.000 4.106 0.000
0.000 0.000 4.106
B Os F
1 3 1
Direct
0.000 0.000 0.000 B
0.000 0.000 0.500 Os
0.000 0.500 0.000 Os
0.500 0.000 0.000 Os
0.500 0.500 0.500 F
```

No. 6
Density functional theory data (PBE) for a geometry-optimized CeMgH6Rh structure.

Computed properties:
Total moment: 1.2 μB per formula unit
Uncorrected energy: -4.227 eV per atom
Symmetry: P-6m2, No. 187

```
CeMgH6Rh
1.0
4.637 0.000 0.000
-2.319 4.016 0.000
0.000 0.000 4.561
Ce Mg H Rh
1 1 6 1
Direct
0.000 0.000 0.000 Ce
0.333 0.667 0.500 Mg
0.517 0.034 0.220 H
0.517 0.034 0.780 H
0.517 0.483 0.220 H
0.517 0.483 0.780 H
0.966 0.483 0.220 H
0.966 0.483 0.780 H
0.667 0.333 0.500 Rh
```

No. 7
Density functional theory data (PBE) for a geometry-optimized CePaIrSe structure.

Computed properties:
Total moment: 0.7 μB per formula unit
Uncorrected energy: -7.992 eV per atom
Symmetry: R3m, No. 160

```
CePaIrSe
1.0
3.936 0.000 0.000
-1.968 3.409 0.000
0.000 0.000 22.381
Ce Pa Ir Se
3 3 3 3
Direct
0.000 0.000 0.000 Ce
0.333 0.667 0.667 Ce
0.667 0.333 0.333 Ce
0.000 0.000 0.185 Pa
0.333 0.667 0.852 Pa
0.667 0.333 0.518 Pa
0.000 0.000 0.589 Ir
0.333 0.667 0.256 Ir
0.667 0.333 0.922 Ir
0.000 0.000 0.426 Se
0.333 0.667 0.093 Se
0.667 0.333 0.759 Se
```

No. 8
Density functional theory data (PBE) for a geometry-optimized Tb3GaI3 structure.

Computed properties:
Total moment: 0.0 μB per formula unit
Uncorrected energy: -4.110 eV per atom
Symmetry: I4_132, No. 214

```
Tb3GaI3
1.0
-6.114 6.114 6.114
6.114 -6.114 6.114
6.114 6.114 -6.114
Tb Ga I
12 4 12
Direct
0.017 0.034 0.267 Tb
0.017 0.483 0.750 Tb
0.034 0.267 0.017 Tb
0.233 0.267 0.750 Tb
0.233 0.466 0.483 Tb
0.267 0.017 0.034 Tb
0.267 0.750 0.233 Tb
0.466 0.483 0.233 Tb
0.483 0.233 0.466 Tb
0.483 0.750 0.017 Tb
0.750 0.017 0.483 Tb
0.750 0.233 0.267 Tb
0.000 0.250 0.500 Ga
0.250 0.250 0.250 Ga
0.250 0.500 0.000 Ga
0.500 0.000 0.250 Ga
0.250 0.757 0.743 I
0.250 0.993 0.507 I
0.507 0.250 0.993 I
0.507 0.757 0.514 I
0.514 0.507 0.757 I
0.743 0.250 0.757 I
0.743 0.993 0.986 I
0.757 0.514 0.507 I
0.757 0.743 0.250 I
0.986 0.743 0.993 I
0.993 0.507 0.250 I
0.993 0.986 0.743 I
```

No. 9
Density functional theory data (PBE) for a geometry-optimized MgMoW structure.

Computed properties:
Total moment: 0.0 μB per formula unit
Uncorrected energy: -8.104 eV per atom
Symmetry: Imm2, No. 44
Excess energy over the best structure of this formula in the dataset: 0.1202 eV per atom

```
MgMoW
1.0
2.675 0.000 0.000
0.000 4.534 0.000
0.000 0.000 8.208
Mg Mo W
2 2 2
Direct
0.000 0.000 0.000 Mg
0.500 0.500 0.500 Mg
0.000 0.000 0.664 Mo
0.500 0.500 0.164 Mo
0.000 0.000 0.337 W
0.500 0.500 0.837 W
```

No. 10
Density functional theory data (PBE) for a geometry-optimized BaCd2BiO5 structure.

Computed properties:
Total moment: 0.0 μB per formula unit
Uncorrected energy: -4.858 eV per atom
Symmetry: Immm, No. 71

```
BaCd2BiO5
1.0
-2.156 3.054 5.691
2.156 -3.054 5.691
2.156 3.054 -5.691
Ba Cd Bi O
1 2 1 5
Direct
0.000 0.000 0.000 Ba
0.281 0.781 0.500 Cd
0.719 0.219 0.500 Cd
0.500 0.500 0.000 Bi
0.109 0.361 0.748 O
0.388 0.639 0.748 O
0.500 0.000 0.500 O
0.612 0.361 0.252 O
0.891 0.639 0.252 O
```

No. 11
Density functional theory data (PBE) for a geometry-optimized NiP3 structure.

Computed properties:
Total moment: 0.0 μB per formula unit
Uncorrected energy: -4.964 eV per atom
Symmetry: Pm-3n, No. 223
Excess energy over the best structure of this formula in the dataset: 0.8398 eV per atom

```
NiP3
1.0
4.777 0.000 0.000
0.000 4.777 0.000
0.000 0.000 4.777
Ni P
2 6
Direct
0.000 0.000 0.000 Ni
0.500 0.500 0.500 Ni
0.000 0.250 0.500 P
0.000 0.750 0.500 P
0.250 0.500 0.000 P
0.500 0.000 0.250 P
0.500 0.000 0.750 P
0.750 0.500 0.000 P
```

No. 12
Density functional theory data (PBE) for a geometry-optimized La2PaNi3Pt12 structure.

Computed properties:
Total moment: 2.1 μB per formula unit
Uncorrected energy: -6.291 eV per atom
Symmetry: R-3m, No. 166

```
La2PaNi3Pt12
1.0
4.034 2.329 6.657
-4.034 2.329 6.657
0.000 -4.658 6.657
La Pa Ni Pt
2 1 3 12
Direct
0.111 0.111 0.111 La
0.889 0.889 0.889 La
0.500 0.500 0.500 Pa
0.000 0.500 0.500 Ni
0.500 0.000 0.500 Ni
0.500 0.500 0.000 Ni
0.098 0.635 0.635 Pt
0.132 0.132 0.626 Pt
0.132 0.626 0.132 Pt
0.365 0.365 0.902 Pt
0.365 0.902 0.365 Pt
0.374 0.868 0.868 Pt
0.626 0.132 0.132 Pt
0.635 0.098 0.635 Pt
0.635 0.635 0.098 Pt
0.868 0.374 0.868 Pt
0.868 0.868 0.374 Pt
0.902 0.365 0.365 Pt
```

No. 13
Density functional theory data (PBE) for a geometry-optimized BaPb6 structure.

Computed properties:
Total moment: 0.0 μB per formula unit
Uncorrected energy: -3.036 eV per atom
Symmetry: Pm-3m, No. 221
Excess energy over the best structure of this formula in the dataset: 0.5787 eV per atom

```
BaPb6
1.0
7.532 0.000 0.000
0.000 7.532 0.000
0.000 0.000 7.532
Ba Pb
1 6
Direct
0.000 0.000 0.000 Ba
0.198 0.500 0.500 Pb
0.500 0.198 0.500 Pb
0.500 0.500 0.198 Pb
0.500 0.500 0.802 Pb
0.500 0.802 0.500 Pb
0.802 0.500 0.500 Pb
```

No. 14
Density functional theory data (PBE) for a geometry-optimized HoTmTlGa structure.

Computed properties:
Total moment: 0.0 μB per formula unit
Uncorrected energy: -4.019 eV per atom
Symmetry: F-43m, No. 216
Excess energy over the best structure of this formula in the dataset: 0.0301 eV per atom

```
HoTmTlGa
1.0
7.329 0.000 0.000
0.000 7.329 0.000
0.000 0.000 7.329
Ho Tm Tl Ga
4 4 4 4
Direct
0.000 0.000 0.000 Ho
0.000 0.500 0.500 Ho
0.500 0.000 0.500 Ho
0.500 0.500 0.000 Ho
0.000 0.000 0.500 Tm
0.000 0.500 0.000 Tm
0.500 0.000 0.000 Tm
0.500 0.500 0.500 Tm
0.250 0.250 0.750 Tl
0.250 0.750 0.250 Tl
0.750 0.250 0.250 Tl
0.750 0.750 0.750 Tl
0.250 0.250 0.250 Ga
0.250 0.750 0.750 Ga
0.750 0.250 0.750 Ga
0.750 0.750 0.250 Ga
```

No. 15
Density functional theory data (PBE) for a geometry-optimized Zn2InAs structure.

Computed properties:
Total moment: 0.0 μB per formula unit
Uncorrected energy: -2.345 eV per atom
Symmetry: P2/m, No. 10

```
Zn2InAs
1.0
3.159 0.000 0.000
0.000 4.084 0.000
-0.571 0.000 6.346
Zn In As
2 1 1
Direct
0.041 0.000 0.246 Zn
0.959 0.000 0.754 Zn
0.500 0.500 0.000 In
0.000 0.500 0.500 As
```

No. 16
Density functional theory data (PBE) for a geometry-optimized Sr6In2N structure.

Computed properties:
Total moment: 1.6 μB per formula unit
Uncorrected energy: -3.062 eV per atom
Symmetry: Fm-3m, No. 225

```
Sr6In2N
1.0
0.000 5.405 5.405
5.405 0.000 5.405
5.405 5.405 0.000
Sr In N
6 2 1
Direct
0.238 0.238 0.762 Sr
0.238 0.762 0.238 Sr
0.238 0.762 0.762 Sr
0.762 0.238 0.238 Sr
0.762 0.238 0.762 Sr
0.762 0.762 0.238 Sr
0.250 0.250 0.250 In
0.750 0.750 0.750 In
0.000 0.000 0.000 N
```

No. 17
Density functional theory data (PBE) for a geometry-optimized LaNdRu2 structure.

Computed properties:
Total moment: 0.0 μB per formula unit
Uncorrected energy: -7.128 eV per atom
Symmetry: P4/mmm, No. 123

```
LaNdRu2
1.0
3.531 0.000 0.000
0.000 3.531 0.000
0.000 0.000 7.066
La Nd Ru
1 1 2
Direct
0.000 0.000 0.000 La
0.000 0.000 0.500 Nd
0.500 0.500 0.245 Ru
0.500 0.500 0.755 Ru
```

No. 18
Density functional theory data (PBE) for a geometry-optimized Pr2SmHo5 structure.

Computed properties:
Total moment: 0.0 μB per formula unit
Uncorrected energy: -4.473 eV per atom
Symmetry: C2/c, No. 15
Excess energy over the best structure of this formula in the dataset: 0.1514 eV per atom

```
Pr2SmHo5
1.0
8.153 -4.965 0.000
8.153 4.965 0.000
-0.949 0.000 6.477
Pr Sm Ho
4 2 10
Direct
0.169 0.675 0.885 Pr
0.325 0.831 0.615 Pr
0.675 0.169 0.385 Pr
0.831 0.325 0.115 Pr
0.000 0.500 0.000 Sm
0.500 0.000 0.500 Sm
0.012 0.187 0.646 Ho
0.187 0.012 0.146 Ho
0.214 0.392 0.475 Ho
0.392 0.214 0.975 Ho
0.441 0.559 0.250 Ho
0.559 0.441 0.750 Ho
0.608 0.786 0.025 Ho
0.786 0.608 0.525 Ho
0.813 0.988 0.854 Ho
0.988 0.813 0.354 Ho
```

No. 19
Density functional theory data (PBE) for a geometry-optimized V2CdTe structure.

Computed properties:
Total moment: 6.3 μB per formula unit
Uncorrected energy: -4.847 eV per atom
Symmetry: I-42d, No. 122
Excess energy over the best structure of this formula in the dataset: 0.2738 eV per atom

```
V2CdTe
1.0
4.461 0.000 0.000
0.000 4.461 0.000
0.000 0.000 18.747
V Cd Te
8 4 4
Direct
0.215 0.250 0.125 V
0.250 0.715 0.375 V
0.250 0.785 0.875 V
0.285 0.250 0.625 V
0.715 0.750 0.625 V
0.750 0.215 0.875 V
0.750 0.285 0.375 V
0.785 0.750 0.125 V
0.000 0.000 0.500 Cd
0.000 0.500 0.750 Cd
0.500 0.000 0.250 Cd
0.500 0.500 0.000 Cd
0.000 0.000 0.000 Te
0.000 0.500 0.250 Te
0.500 0.000 0.750 Te
0.500 0.500 0.500 Te
```

No. 20
Density functional theory data (PBE) for a geometry-optimized ReIrW2 structure.

Computed properties:
Total moment: 0.0 μB per formula unit
Uncorrected energy: -10.343 eV per atom
Symmetry: I-42d, No. 122

```
ReIrW2
1.0
5.694 0.000 0.000
0.000 5.694 0.000
0.000 0.000 11.503
Re Ir W
4 4 8
Direct
0.000 0.000 0.000 Re
0.000 0.500 0.250 Re
0.500 0.000 0.750 Re
0.500 0.500 0.500 Re
0.000 0.000 0.500 Ir
0.000 0.500 0.750 Ir
0.500 0.000 0.250 Ir
0.500 0.500 0.000 Ir
0.245 0.250 0.625 W
0.250 0.745 0.875 W
0.250 0.755 0.375 W
0.255 0.250 0.125 W
0.745 0.750 0.125 W
0.750 0.245 0.375 W
0.750 0.255 0.875 W
0.755 0.750 0.625 W
```

No. 21
Density functional theory data (PBE) for a geometry-optimized Ba2GePtAu6 structure.

Computed properties:
Total moment: 0.0 μB per formula unit
Uncorrected energy: -3.837 eV per atom
Symmetry: I4/mmm, No. 139

```
Ba2GePtAu6
1.0
-3.622 3.622 5.132
3.622 -3.622 5.132
3.622 3.622 -5.132
Ba Ge Pt Au
2 1 1 6
Direct
0.250 0.750 0.500 Ba
0.750 0.250 0.500 Ba
0.000 0.000 0.000 Ge
0.500 0.500 0.000 Pt
0.245 0.245 0.000 Au
0.245 0.245 0.489 Au
0.245 0.755 0.000 Au
0.755 0.245 0.000 Au
0.755 0.755 0.000 Au
0.755 0.755 0.511 Au
```

No. 22
Density functional theory data (PBE) for a geometry-optimized U4VGa12 structure.

Computed properties:
Total moment: 8.0 μB per formula unit
Uncorrected energy: -5.549 eV per atom
Symmetry: Im-3m, No. 229

```
U4VGa12
1.0
-4.298 4.298 4.298
4.298 -4.298 4.298
4.298 4.298 -4.298
U V Ga
4 1 12
Direct
0.000 0.000 0.500 U
0.000 0.500 0.000 U
0.500 0.000 0.000 U
0.500 0.500 0.500 U
0.000 0.000 0.000 V
0.000 0.291 0.291 Ga
0.000 0.709 0.709 Ga
0.250 0.500 0.750 Ga
0.250 0.750 0.500 Ga
0.291 0.000 0.291 Ga
0.291 0.291 0.000 Ga
0.500 0.250 0.750 Ga
0.500 0.750 0.250 Ga
0.709 0.000 0.709 Ga
0.709 0.709 0.000 Ga
0.750 0.250 0.500 Ga
0.750 0.500 0.250 Ga
```

No. 23
Density functional theory data (PBE) for a geometry-optimized Li5Ce2H2Au3 structure.

Computed properties:
Total moment: 1.3 μB per formula unit
Uncorrected energy: -3.602 eV per atom
Symmetry: I4/mmm, No. 139

```
Li5Ce2H2Au3
1.0
-2.067 2.067 11.896
2.067 -2.067 11.896
2.067 2.067 -11.896
Li Ce H Au
5 2 2 3
Direct
0.000 0.000 0.000 Li
0.080 0.580 0.500 Li
0.420 0.920 0.500 Li
0.580 0.080 0.500 Li
0.920 0.420 0.500 Li
0.190 0.190 0.000 Ce
0.810 0.810 0.000 Ce
0.087 0.087 0.000 H
0.913 0.913 0.000 H
0.328 0.328 0.000 Au
0.500 0.500 0.000 Au
0.672 0.672 0.000 Au
```